VASP calculation (PBE) on a relaxed Mn3GeOs crystal.

Calculated values
**Density of states at the Fermi level**: 6.22 states/eV per cell
**ΔE_f**: 1.197 eV/atom

abc: 4.6150 4.6150 4.6150
angles: 90.00 90.00 90.00
With the nearest neighbours (Å) after each atom.
Space group Pm-3m (No. 221)
Asymmetric unit:
1 Mn 0.0000 0.0000 0.5000 (multiplicity 3)  2 Os 2.31
2 Ge 0.5000 0.5000 0.5000 (multiplicity 1)  12 Mn 3.26
3 Os 0.0000 0.0000 0.0000 (multiplicity 1)  6 Mn 2.31



VASP calculation (PBE) on a relaxed MnGe3Os crystal.

Calculated values
**Density of states at the Fermi level**: 3.95 states/eV per cell
**ΔE_f**: 0.701 eV/atom

abc: 4.8212 4.8212 4.8212
angles: 90.00 90.00 90.00
With the nearest neighbours (Å) after each atom.
Space group Pm-3m (No. 221)
Asymmetric unit:
1 Mn 0.0000 0.0000 0.0000 (multiplicity 1)  12 Ge 3.41
2 Ge 0.0000 0.5000 0.5000 (multiplicity 3)  2 Os 2.41
3 Os 0.5000 0.5000 0.5000 (multiplicity 1)  6 Ge 2.41



VASP calculation (PBE) on a relaxed MnGeOs2 crystal.

Calculated values
**Density of states at the Fermi level**: 1.39 states/eV per cell
**ΔE_f**: 0.054 eV/atom

abc: 4.2672 4.2672 3.0275
angles: 90.00 90.00 90.00
With the nearest neighbours (Å) after each atom.
Space group P4/mmm (No. 123)
Asymmetric unit:
1 Mn 0.0000 0.0000 0.0000 (multiplicity 1)  8 Os 2.62
2 Ge 0.5000 0.5000 0.0000 (multiplicity 1)  8 Os 2.62
3 Os 0.0000 0.5000 0.5000 (multiplicity 2)  4 Ge 2.62, 4 Mn 2.62



VASP calculation (PBE) on a relaxed Mn3GeOs crystal.

Calculated values
**Density of states at the Fermi level**: 10.19 states/eV per cell
**ΔE_f**: 1.562 eV/atom

abc: 4.1921 4.1921 4.1921
angles: 90.00 90.00 90.00
With the nearest neighbours (Å) after each atom.
Space group Pm-3m (No. 221)
Asymmetric unit:
1 Mn 0.0000 0.0000 0.5000 (multiplicity 3)  2 Ge 2.10
2 Ge 0.0000 0.0000 0.0000 (multiplicity 1)  6 Mn 2.10
3 Os 0.5000 0.5000 0.5000 (multiplicity 1)  12 Mn 2.96



VASP calculation (PBE) on a relaxed MnGeOs crystal.

Calculated values
**Density of states at the Fermi level**: 2.69 states/eV per cell
**ΔE_f**: 0.210 eV/atom

abc: 4.0919 4.0919 2.7351
angles: 90.00 90.00 120.00
With the nearest neighbours (Å) after each atom.
Space group P3m1 (No. 156)
Asymmetric unit:
1 Mn 0.0000 0.0000 0.0000 (multiplicity 1)  3 Ge 2.36
2 Ge 0.6667 0.3333 0.9952 (multiplicity 1)  3 Mn 2.36
3 Os 0.3333 0.6667 0.4990 (multiplicity 1)  6 Ge 2.72-2.73, 6 Mn 2.73, 2 Os 2.74



VASP calculation (PBE) on a relaxed MnGe4Os crystal.

Calculated values
**Density of states at the Fermi level**: 6.35 states/eV per cell
**ΔE_f**: 0.152 eV/atom

abc: 5.3877 5.9667 6.0894
angles: 90.00 90.00 90.00
With the nearest neighbours (Å) after each atom.
Space group P222 (No. 16)
Asymmetric unit:
1 Mn 0.0000 0.0000 0.0000 (multiplicity 1)  8 Ge 2.54-2.67, 2 Os 2.69
2 Mn 0.5000 0.0000 0.5000 (multiplicity 1)  4 Ge 2.29
3 Ge 0.2007 0.2016 0.6794 (multiplicity 4)  2 Mn 2.29-2.54
4 Ge 0.2687 0.3339 0.1681 (multiplicity 4)  2 Os 2.56-2.57, 1 Mn 2.67, 2 Ge 2.81-2.85
5 Os 0.5000 0.0000 0.0000 (multiplicity 1)  8 Ge 2.56-2.80, 2 Mn 2.69
6 Os 0.5000 0.5000 0.5000 (multiplicity 1)  8 Ge 2.57-2.64



VASP calculation (PBE) on a relaxed Mn2GeOs2 crystal.

Calculated values
**Density of states at the Fermi level**: 9.31 states/eV per cell
**ΔE_f**: 0.353 eV/atom

abc: 7.2288 7.2288 2.6849
angles: 90.00 90.00 90.00
With the nearest neighbours (Å) after each atom.
Space group P4/mbm (No. 127)
Asymmetric unit:
1 Mn 0.1580 0.3420 0.0000 (multiplicity 4)  6 Os 2.49-2.53, 2 Mn 2.68, 2 Ge 2.72
2 Ge 0.0000 0.0000 0.0000 (multiplicity 2)  2 Ge 2.68, 4 Mn 2.72
3 Os 0.1318 0.6318 0.5000 (multiplicity 4)  6 Mn 2.49-2.53, 3 Os 2.68-2.69



VASP calculation (PBE) on a relaxed PaMnGeOs crystal.

Calculated values
**Density of states at the Fermi level**: 9.65 states/eV per cell
**ΔE_f**: -0.016 eV/atom

abc: 6.4612 6.4612 6.4612
angles: 90.00 90.00 90.00
With the nearest neighbours (Å) after each atom.
Space group F-43m (No. 216)
Asymmetric unit:
1 Pa 0.0000 0.0000 0.0000 (multiplicity 4)  4 Mn 2.80, 4 Os 2.80
2 Mn 0.2500 0.2500 0.7500 (multiplicity 4)  4 Ge 2.80, 4 Pa 2.80
3 Ge 0.0000 0.0000 0.5000 (multiplicity 4)  4 Os 2.80, 4 Mn 2.80
4 Os 0.2500 0.2500 0.2500 (multiplicity 4)  4 Pa 2.80, 4 Ge 2.80



VASP calculation (PBE) on a relaxed MnGeOs2Pb crystal.

Calculated values
**Density of states at the Fermi level**: 5.34 states/eV per cell
**ΔE_f**: 1.210 eV/atom

abc: 4.6480 4.6480 4.6252
angles: 90.00 90.00 90.00
With the nearest neighbours (Å) after each atom.
Space group P4/mmm (No. 123)
Asymmetric unit:
1 Mn 0.0000 0.0000 0.0000 (multiplicity 1)  2 Ge 2.31
2 Ge 0.0000 0.0000 0.5000 (multiplicity 1)  2 Mn 2.31, 4 Os 2.32
3 Os 0.0000 0.5000 0.5000 (multiplicity 2)  2 Ge 2.32
4 Pb 0.5000 0.5000 0.0000 (multiplicity 1)  8 Os 3.28, 4 Mn 3.29



VASP calculation (PBE) on a relaxed PrMnGe2Os crystal.

Calculated values
**Density of states at the Fermi level**: 2.39 states/eV per cell
**ΔE_f**: -0.467 eV/atom

abc: 4.1130 4.1130 10.8994
angles: 90.00 90.00 90.00
With the nearest neighbours (Å) after each atom.
Space group I-4m2 (No. 119)
Asymmetric unit:
1 Pr 0.0000 0.0000 0.0000 (multiplicity 2)  8 Ge 3.20, 4 Mn 3.41, 4 Os 3.41
2 Mn 0.0000 0.5000 0.7500 (multiplicity 2)  4 Ge 2.48
3 Ge 0.0000 0.0000 0.3773 (multiplicity 4)  2 Mn 2.48, 2 Os 2.48, 1 Ge 2.67
4 Os 0.0000 0.5000 0.2500 (multiplicity 2)  4 Ge 2.48



VASP calculation (PBE) on a relaxed MnGeOsRh crystal.

Calculated values
**Density of states at the Fermi level**: 8.78 states/eV per cell
**ΔE_f**: -0.159 eV/atom

abc: 6.0603 6.0603 6.0603
angles: 90.00 90.00 90.00
With the nearest neighbours (Å) after each atom.
Space group F-43m (No. 216)
Asymmetric unit:
1 Mn 0.0000 0.0000 0.0000 (multiplicity 4)  4 Os 2.62, 4 Rh 2.62
2 Ge 0.0000 0.0000 0.5000 (multiplicity 4)  4 Rh 2.62, 4 Os 2.62
3 Os 0.2500 0.2500 0.2500 (multiplicity 4)  4 Ge 2.62, 4 Mn 2.62
4 Rh 0.2500 0.2500 0.7500 (multiplicity 4)  4 Ge 2.62, 4 Mn 2.62



VASP calculation (PBE) on a relaxed MnGeOsRu crystal.

Calculated values
**Density of states at the Fermi level**: 9.20 states/eV per cell
**ΔE_f**: -0.109 eV/atom

abc: 6.0230 6.0230 6.0230
angles: 90.00 90.00 90.00
With the nearest neighbours (Å) after each atom.
Space group F-43m (No. 216)
Asymmetric unit:
1 Mn 0.0000 0.0000 0.0000 (multiplicity 4)  4 Os 2.61, 4 Ru 2.61
2 Ge 0.0000 0.0000 0.5000 (multiplicity 4)  4 Ru 2.61, 4 Os 2.61
3 Os 0.2500 0.2500 0.2500 (multiplicity 4)  4 Ge 2.61, 4 Mn 2.61
4 Ru 0.2500 0.2500 0.7500 (multiplicity 4)  4 Mn 2.61, 4 Ge 2.61



VASP calculation (PBE) on a relaxed MnGe2OsSe crystal.

Calculated values
**Density of states at the Fermi level**: 6.68 states/eV per cell
**Electronic total energy**: -4.7948 eV/atom

abc: 5.0099 5.0099 4.4681
angles: 90.00 90.00 90.00
With the nearest neighbours (Å) after each atom.
Space group P4/mmm (No. 123)
Asymmetric unit:
1 Mn 0.0000 0.0000 0.0000 (multiplicity 1)  8 Ge 3.36, 4 Os 3.54
2 Ge 0.0000 0.5000 0.5000 (multiplicity 2)  2 Se 2.50
3 Os 0.5000 0.5000 0.0000 (multiplicity 1)  2 Se 2.23
4 Se 0.5000 0.5000 0.5000 (multiplicity 1)  2 Os 2.23



VASP calculation (PBE) on a relaxed SmMnGe2Os crystal.

Calculated values
**Density of states at the Fermi level**: 2.22 states/eV per cell
**ΔE_f**: -0.480 eV/atom

abc: 4.0777 4.0777 10.7917
angles: 90.00 90.00 90.00
With the nearest neighbours (Å) after each atom.
Space group I-4m2 (No. 119)
Asymmetric unit:
1 Sm 0.0000 0.0000 0.0000 (multiplicity 2)  8 Ge 3.16, 4 Mn 3.38, 4 Os 3.38
2 Mn 0.0000 0.5000 0.7500 (multiplicity 2)  4 Ge 2.47
3 Ge 0.0000 0.0000 0.3797 (multiplicity 4)  2 Mn 2.47, 2 Os 2.47, 1 Ge 2.60
4 Os 0.0000 0.5000 0.2500 (multiplicity 2)  4 Ge 2.47



VASP calculation (PBE) on a relaxed TbMnGe2Os crystal.

Calculated values
**Density of states at the Fermi level**: 2.12 states/eV per cell
**ΔE_f**: -0.477 eV/atom

abc: 4.0515 4.0515 10.7103
angles: 90.00 90.00 90.00
With the nearest neighbours (Å) after each atom.
Space group I-4m2 (No. 119)
Asymmetric unit:
1 Tb 0.0000 0.0000 0.0000 (multiplicity 2)  8 Ge 3.13, 4 Mn 3.36, 4 Os 3.36
2 Mn 0.0000 0.5000 0.2500 (multiplicity 2)  4 Ge 2.47
3 Ge 0.0000 0.0000 0.3812 (multiplicity 4)  2 Mn 2.47, 2 Os 2.47, 1 Ge 2.54
4 Os 0.0000 0.5000 0.7500 (multiplicity 2)  4 Ge 2.47



VASP calculation (PBE) on a relaxed ThMnGe3Os crystal.

Calculated values
**Density of states at the Fermi level**: 14.54 states/eV per cell
**ΔE_f**: -0.035 eV/atom

abc: 7.6313 10.7345 5.8162
angles: 90.00 90.00 90.00
With the nearest neighbours (Å) after each atom.
Space group Cmcm (No. 63)
Asymmetric unit:
1 Th 0.0000 0.2467 0.2500 (multiplicity 4)  2 Ge 2.91, 1 Mn 3.05, 1 Os 3.13
2 Mn 0.0000 0.0375 0.7500 (multiplicity 4)  5 Ge 2.21-2.37
3 Ge 0.0000 0.2431 0.7500 (multiplicity 4)  1 Mn 2.21, 1 Os 2.35
4 Ge 0.2396 0.0000 0.0000 (multiplicity 8)  2 Mn 2.37, 2 Os 2.50
5 Os 0.0000 0.4616 0.7500 (multiplicity 4)  5 Ge 2.35-2.50



VASP calculation (PBE) on a relaxed ThMnGe2Os crystal.

Calculated values
**Density of states at the Fermi level**: 6.93 states/eV per cell
**ΔE_f**: -0.452 eV/atom

abc: 4.1319 4.1319 10.7031
angles: 90.00 90.00 90.00
With the nearest neighbours (Å) after each atom.
Space group I-4m2 (No. 119)
Asymmetric unit:
1 Th 0.0000 0.0000 0.0000 (multiplicity 2)  8 Ge 3.20, 4 Mn 3.38, 4 Os 3.38
2 Mn 0.0000 0.5000 0.7500 (multiplicity 2)  4 Ge 2.48
3 Ge 0.0000 0.0000 0.3787 (multiplicity 4)  2 Mn 2.48, 2 Os 2.48, 1 Ge 2.60
4 Os 0.0000 0.5000 0.2500 (multiplicity 2)  4 Ge 2.48



VASP calculation (PBE) on a relaxed UMnGeOs crystal.

Calculated values
**Density of states at the Fermi level**: 19.96 states/eV per cell
**ΔE_f**: 0.070 eV/atom

abc: 6.3923 6.3923 6.3923
angles: 90.00 90.00 90.00
With the nearest neighbours (Å) after each atom.
Space group F-43m (No. 216)
Asymmetric unit:
1 U 0.0000 0.0000 0.0000 (multiplicity 4)  4 Mn 2.77, 4 Os 2.77
2 Mn 0.2500 0.2500 0.7500 (multiplicity 4)  4 Ge 2.77, 4 U 2.77
3 Ge 0.0000 0.0000 0.5000 (multiplicity 4)  4 Os 2.77, 4 Mn 2.77
4 Os 0.2500 0.2500 0.2500 (multiplicity 4)  4 Ge 2.77, 4 U 2.77



VASP calculation (PBE) on a relaxed YMnGe2Os crystal.

Calculated values
**Density of states at the Fermi level**: 2.21 states/eV per cell
**ΔE_f**: -0.475 eV/atom

abc: 4.0484 4.0484 10.7122
angles: 90.00 90.00 90.00
With the nearest neighbours (Å) after each atom.
Space group I-4m2 (No. 119)
Asymmetric unit:
1 Y 0.0000 0.0000 0.0000 (multiplicity 2)  8 Ge 3.13, 4 Mn 3.36, 4 Os 3.36
2 Mn 0.0000 0.5000 0.7500 (multiplicity 2)  4 Ge 2.47
3 Ge 0.0000 0.0000 0.3814 (multiplicity 4)  2 Mn 2.47, 2 Os 2.47, 1 Ge 2.54
4 Os 0.0000 0.5000 0.2500 (multiplicity 2)  4 Ge 2.47



VASP calculation (PBE) on a relaxed ZrMn2GeOs crystal.

Calculated values
**Density of states at the Fermi level**: 5.50 states/eV per cell
**ΔE_f**: 1.783 eV/atom

abc: 5.1827 5.1827 5.0007
angles: 90.00 90.00 90.00
With the nearest neighbours (Å) after each atom.
Space group P4/mmm (No. 123)
Asymmetric unit:
1 Zr 0.0000 0.0000 0.0000 (multiplicity 1)  2 Os 2.50, 4 Mn 2.59
2 Mn 0.0000 0.5000 0.0000 (multiplicity 2)  2 Zr 2.59
3 Ge 0.5000 0.5000 0.5000 (multiplicity 1)  8 Mn 3.60, 4 Os 3.66
4 Os 0.0000 0.0000 0.5000 (multiplicity 1)  2 Zr 2.50



VASP calculation (PBE) on a relaxed MnGeP3 crystal.

Calculated values
**Density of states at the Fermi level**: 4.01 states/eV per cell
**ΔE_f**: 1.103 eV/atom

abc: 4.5741 4.5741 4.5741
angles: 90.00 90.00 90.00
With the nearest neighbours (Å) after each atom.
Space group Pm-3m (No. 221)
Asymmetric unit:
1 Mn 0.0000 0.0000 0.0000 (multiplicity 1)  12 P 3.23
2 Ge 0.5000 0.5000 0.5000 (multiplicity 1)  6 P 2.29
3 P 0.0000 0.5000 0.5000 (multiplicity 3)  2 Ge 2.29



VASP calculation (PBE) on a relaxed MnGeP3 crystal.

Calculated values
**Density of states at the Fermi level**: 4.64 states/eV per cell
**ΔE_f**: 0.543 eV/atom

abc: 4.4190 4.4190 4.4190
angles: 90.00 90.00 90.00
With the nearest neighbours (Å) after each atom.
Space group Pm-3m (No. 221)
Asymmetric unit:
1 Mn 0.0000 0.0000 0.0000 (multiplicity 1)  6 P 2.21
2 Ge 0.5000 0.5000 0.5000 (multiplicity 1)  12 P 3.12
3 P 0.0000 0.0000 0.5000 (multiplicity 3)  2 Mn 2.21



VASP calculation (PBE) on a relaxed Mn3GeP crystal.

Calculated values
**Density of states at the Fermi level**: 3.87 states/eV per cell
**ΔE_f**: 0.373 eV/atom

abc: 4.1539 4.1539 4.1539
angles: 90.00 90.00 90.00
With the nearest neighbours (Å) after each atom.
Space group Pm-3m (No. 221)
Asymmetric unit:
1 Mn 0.0000 0.0000 0.5000 (multiplicity 3)  2 P 2.08
2 Ge 0.5000 0.5000 0.5000 (multiplicity 1)  12 Mn 2.94
3 P 0.0000 0.0000 0.0000 (multiplicity 1)  6 Mn 2.08



VASP calculation (PBE) on a relaxed Mn2GeP crystal.

Calculated values
**Density of states at the Fermi level**: 14.02 states/eV per cell
**ΔE_f**: -0.060 eV/atom

abc: 5.7216 5.7216 5.7216
angles: 90.00 90.00 90.00
With the nearest neighbours (Å) after each atom.
Space group Fm-3m (No. 225)
Asymmetric unit:
1 Mn 0.2500 0.2500 0.2500 (multiplicity 8)  4 Ge 2.48, 4 P 2.48
2 Ge 0.0000 0.0000 0.0000 (multiplicity 4)  8 Mn 2.48
3 P 0.0000 0.0000 0.5000 (multiplicity 4)  8 Mn 2.48



VASP calculation (PBE) on a relaxed PmMn2Ge2P crystal.

Calculated values
**Density of states at the Fermi level**: 4.70 states/eV per cell
**ΔE_f**: -0.406 eV/atom

abc: 4.3416 4.3416 5.6017
angles: 90.00 90.00 90.00
With the nearest neighbours (Å) after each atom.
Space group P4/mmm (No. 123)
Asymmetric unit:
1 Pm 0.0000 0.0000 0.0000 (multiplicity 1)  2 P 2.80
2 Mn 0.0000 0.5000 0.5000 (multiplicity 2)  2 P 2.17
3 Ge 0.5000 0.5000 0.2318 (multiplicity 2)  1 Ge 2.60, 4 Mn 2.64
4 P 0.0000 0.0000 0.5000 (multiplicity 1)  4 Mn 2.17



VASP calculation (PBE) on a relaxed MnGePPt2 crystal.

Calculated values
**Density of states at the Fermi level**: 2.55 states/eV per cell
**ΔE_f**: 0.693 eV/atom

abc: 4.6805 4.6805 4.6398
angles: 90.00 90.00 90.00
With the nearest neighbours (Å) after each atom.
Space group P4/mmm (No. 123)
Asymmetric unit:
1 Mn 0.0000 0.0000 0.0000 (multiplicity 1)  8 Pt 3.30, 4 P 3.31
2 Ge 0.5000 0.5000 0.5000 (multiplicity 1)  2 P 2.32, 4 Pt 2.34
3 P 0.5000 0.5000 0.0000 (multiplicity 1)  2 Ge 2.32
4 Pt 0.0000 0.5000 0.5000 (multiplicity 2)  2 Ge 2.34



VASP calculation (PBE) on a relaxed MnGeP2S crystal.

Calculated values
**Density of states at the Fermi level**: 4.32 states/eV per cell
**Electronic total energy**: -4.3601 eV/atom

abc: 4.6922 4.6922 4.6018
angles: 90.00 90.00 90.00
With the nearest neighbours (Å) after each atom.
Space group P4/mmm (No. 123)
Asymmetric unit:
1 Mn 0.0000 0.0000 0.0000 (multiplicity 1)  8 P 3.29, 4 S 3.32
2 Ge 0.5000 0.5000 0.5000 (multiplicity 1)  2 S 2.30, 4 P 2.35
3 P 0.0000 0.5000 0.5000 (multiplicity 2)  2 Ge 2.35
4 S 0.5000 0.5000 0.0000 (multiplicity 1)  2 Ge 2.30



VASP calculation (PBE) on a relaxed MnGeP2S crystal.

Calculated values
**Density of states at the Fermi level**: 3.50 states/eV per cell
**Electronic total energy**: -5.3350 eV/atom

abc: 4.2070 4.2070 5.2595
angles: 90.00 90.00 90.00
With the nearest neighbours (Å) after each atom.
Space group P4/mmm (No. 123)
Asymmetric unit:
1 Mn 0.0000 0.0000 0.0000 (multiplicity 1)  4 P 2.10
2 Ge 0.5000 0.5000 0.5000 (multiplicity 1)  4 S 2.97
3 P 0.0000 0.5000 0.0000 (multiplicity 2)  2 Mn 2.10
4 S 0.0000 0.0000 0.5000 (multiplicity 1)  2 Mn 2.63



no.,M_tot (μB/atom)
1,1.772
2,0.723
3,0.745
4,0.000
5,0.000
6,0.268
7,0.000
8,0.000
9,1.002
10,0.551
11,1.008
12,0.756
13,0.019
14,0.552
15,0.553
16,0.022
17,0.562
18,0.291
19,0.553
20,1.373
21,0.707
22,0.014
23,0.823
24,0.026
25,0.726
26,0.898
27,0.030
28,0.080